# 1
Below is a geometry-optimized Rb2Nb2O5 structure, with properties calculated at the PBE-GGA level.

Structure (POSCAR):
```
Rb2Nb2O5
1.0
-2.730 -8.687 0.634
2.417 -6.557 -5.872
3.560 6.715 5.054
Nb O Rb
4 10 4
direct
0.982 0.000 0.982 Nb
0.482 0.500 0.982 Nb
0.762 0.796 0.058 Nb
0.262 0.204 0.966 Nb
0.778 0.762 0.535 O
0.773 0.238 0.016 O
0.278 0.743 0.016 O
0.273 0.257 0.535 O
0.882 0.861 0.000 O
0.139 0.139 0.020 O
0.382 0.382 0.020 O
0.639 0.618 0.000 O
0.012 0.000 0.512 O
0.512 0.000 0.011 O
0.383 0.869 0.495 Rb
0.626 0.131 0.514 Rb
0.883 0.388 0.514 Rb
0.126 0.612 0.495 Rb
```

Results
SG: Ima2 (46)
Formation energy without anion corrections: -2.061 eV/atom
Total magnetic moment: 1.20 μB per formula unit


# 2
Below is a geometry-optimized RbNb2O structure, with properties calculated at the PBE-GGA level.

Structure (POSCAR):
```
RbNb2O
1.0
6.627 0.000 0.000
0.000 6.627 0.000
3.314 3.314 4.687
Nb O Rb
4 2 2
direct
0.374 0.125 0.250 Nb
0.376 0.625 0.250 Nb
0.375 0.626 0.750 Nb
0.875 0.624 0.750 Nb
0.500 0.500 0.000 O
0.250 0.750 0.500 O
0.000 0.000 0.000 Rb
0.750 0.250 0.500 Rb
```

Results
SG: Fd-3m (227)
Formation energy without anion corrections: 0.100 eV/atom
Total magnetic moment: 0.00 μB per formula unit


# 3
Below is a geometry-optimized Rb2NbRhO structure, with properties calculated at the PBE-GGA level.

Structure (POSCAR):
```
Rb2NbRhO
1.0
-4.736 3.264 3.870
-2.631 -1.013 -2.365
-1.032 -5.810 3.637
Nb Rh O Rb
1 1 1 2
direct
0.500 0.500 0.500 Nb
0.000 0.000 0.000 Rh
0.000 0.500 0.000 O
0.000 0.000 0.500 Rb
0.500 0.000 0.000 Rb
```

Results
SG: P4/mmm (123)
Formation energy without anion corrections: 0.683 eV/atom
Total magnetic moment: 4.69 μB per formula unit


# 4
Below is a geometry-optimized RbNbRhO6 structure, with properties calculated at the PBE-GGA level.

Structure (POSCAR):
```
RbNbRhO6
1.0
-1.526 -4.965 -1.243
1.390 -2.123 -4.699
5.328 -2.291 2.611
Rb Nb Rh O
1 1 1 6
direct
0.000 0.000 0.997 Rb
0.333 0.333 0.463 Nb
0.667 0.667 0.522 Rh
0.988 0.385 0.328 O
0.395 0.997 0.678 O
0.608 0.395 0.678 O
0.997 0.608 0.678 O
0.385 0.628 0.328 O
0.627 0.988 0.328 O
```

Results
SG: P3 (143)
Formation energy without anion corrections: -1.431 eV/atom
Total magnetic moment: 3.04 μB per formula unit